Ba2Pt (SCAN, PBEsol geometry); DFT formation energy = -195 kJ/mol of formula units; spin magnetization = 0.0 μB/f.u.; calculated total energy = -3.707 Ry/atom; space group = Pa-3
1.0
7.740 0.000 0.000
0.000 7.740 0.000
0.000 0.000 7.740
Ba Pt
8 4
direct
0.832 0.332 0.168 Ba
0.168 0.832 0.332 Ba
0.832 0.168 0.668 Ba
0.332 0.332 0.332 Ba
0.332 0.168 0.832 Ba
0.668 0.832 0.168 Ba
0.168 0.668 0.832 Ba
0.668 0.668 0.668 Ba
0.000 0.000 0.000 Pt
0.000 0.500 0.500 Pt
0.500 0.000 0.500 Pt
0.500 0.500 0.000 Pt